A relaxed Tm3AgPd2 crystal, computed with PBE-GGA.

Summary:
SG	P-3m1, No. 164
D(E_F)	8.96	states/eV/cell
energy of formation from the pure elements	-0.7316	eV/atom
crystal system	trigonal

Cell: 4.951 4.951 12.143 Å, 90.00 90.00 120.00°
Element x y z (fractional)
Tm 0.000 0.000 0.243
Tm 0.000 0.000 0.757
Tm 0.333 0.667 0.417
Tm 0.333 0.667 0.922
Tm 0.667 0.333 0.078
Tm 0.667 0.333 0.583
Ag 0.333 0.667 0.669
Ag 0.667 0.333 0.331
Pd 0.000 0.000 0.000
Pd 0.000 0.000 0.500
Pd 0.333 0.667 0.170
Pd 0.667 0.333 0.830

=====

A relaxed Tm2Ag4Pd3 crystal, computed with PBE-GGA.

Summary:
SG	C2/m, No. 12
D(E_F)	4.18	states/eV/cell
energy of formation from the pure elements	-0.4969	eV/atom
crystal system	monoclinic

Cell: 5.346 5.346 8.841 Å, 112.00 112.00 46.14°
Element x y z (fractional)
Tm 0.169 0.169 0.235
Tm 0.831 0.831 0.765
Ag 0.167 0.167 0.890
Ag 0.498 0.498 0.663
Ag 0.502 0.502 0.337
Ag 0.833 0.833 0.110
Pd 0.162 0.162 0.556
Pd 0.500 0.500 0.000
Pd 0.838 0.838 0.444

=====

A relaxed TmAgPd crystal, computed with PBE-GGA.

Summary:
SG	P3m1, No. 156
D(E_F)	2.03	states/eV/cell
energy of formation from the pure elements	-0.5044	eV/atom
crystal system	trigonal

Cell: 4.639 4.639 3.302 Å, 90.00 90.00 120.00°
Element x y z (fractional)
Tm 0.000 0.000 0.000
Ag 0.333 0.667 0.501
Pd 0.667 0.333 0.498

=====

A relaxed TmAg2Pd crystal, computed with PBE-GGA.

Summary:
SG	C2, No. 5
D(E_F)	1.49	states/eV/cell
energy of formation from the pure elements	-0.4550	eV/atom
crystal system	monoclinic

Cell: 5.215 5.215 4.161 Å, 113.48 113.48 110.85°
Element x y z (fractional)
Tm 0.000 0.000 0.000
Ag 0.499 0.501 0.000
Ag 0.749 0.251 0.500
Pd 0.250 0.750 0.500

=====

A relaxed TmAgPd crystal, computed with PBE-GGA.

Summary:
SG	I4mm, No. 107
D(E_F)	2.02	states/eV/cell
energy of formation from the pure elements	-0.6133	eV/atom
crystal system	tetragonal

Cell: 5.219 5.219 5.219 Å, 139.36 139.36 58.82°
Element x y z (fractional)
Tm 0.000 0.000 0.000
Ag 0.677 0.677 0.000
Pd 0.346 0.346 0.000

=====

A relaxed Tm4AgPd3 crystal, computed with PBE-GGA.

Summary:
SG	Pmma, No. 51
D(E_F)	10.72	states/eV/cell
energy of formation from the pure elements	-0.7810	eV/atom
crystal system	orthorhombic

Cell: 9.814 7.076 4.906 Å, 90.00 90.00 90.00°
Element x y z (fractional)
Tm 0.000 0.243 0.000
Tm 0.000 0.757 0.000
Tm 0.250 0.243 0.499
Tm 0.250 0.757 0.499
Tm 0.500 0.243 0.000
Tm 0.500 0.757 0.000
Tm 0.750 0.243 0.501
Tm 0.750 0.757 0.501
Ag 0.000 0.500 0.500
Ag 0.500 0.500 0.500
Pd 0.000 0.000 0.500
Pd 0.250 0.000 0.999
Pd 0.250 0.500 0.999
Pd 0.500 0.000 0.500
Pd 0.750 0.000 0.001
Pd 0.750 0.500 0.001

=====

A relaxed Tm3AgPd2 crystal, computed with PBE-GGA.

Summary:
SG	P4/mmm, No. 123
D(E_F)	3.72	states/eV/cell
energy of formation from the pure elements	-0.7395	eV/atom
crystal system	tetragonal

Cell: 3.509 3.509 10.500 Å, 90.00 90.00 90.00°
Element x y z (fractional)
Tm 0.000 0.000 0.000
Tm 0.000 0.000 0.323
Tm 0.000 0.000 0.677
Ag 0.500 0.500 0.500
Pd 0.500 0.500 0.163
Pd 0.500 0.500 0.837

=====

A relaxed TmAg4Pd crystal, computed with PBE-GGA.

Summary:
SG	F-43m, No. 216
D(E_F)	4.87	states/eV/cell
energy of formation from the pure elements	-0.1782	eV/atom
crystal system	cubic

Cell: 5.459 5.459 5.459 Å, 60.00 60.00 60.00°
Element x y z (fractional)
Tm 0.000 0.000 0.000
Ag 0.126 0.625 0.625
Ag 0.625 0.126 0.625
Ag 0.625 0.625 0.126
Ag 0.625 0.625 0.625
Pd 0.250 0.250 0.250

=====

A relaxed TmAg8Pd2 crystal, computed with PBE-GGA.

Summary:
SG	C2/m, No. 12
D(E_F)	3.30	states/eV/cell
energy of formation from the pure elements	0.0917	eV/atom
crystal system	monoclinic

Cell: 7.396 7.396 4.829 Å, 100.69 100.69 63.00°
Element x y z (fractional)
Tm 0.000 0.000 0.000
Ag 0.234 0.234 0.119
Ag 0.250 0.613 0.227
Ag 0.354 0.354 0.688
Ag 0.387 0.750 0.773
Ag 0.613 0.250 0.227
Ag 0.646 0.646 0.312
Ag 0.750 0.387 0.773
Ag 0.766 0.766 0.881
Pd 0.117 0.117 0.555
Pd 0.883 0.883 0.445

=====

A relaxed TmAgPd crystal, computed with PBE-GGA.

Summary:
SG	F-43m, No. 216
D(E_F)	1.04	states/eV/cell
energy of formation from the pure elements	-0.4801	eV/atom
crystal system	cubic

Cell: 4.604 4.604 4.604 Å, 60.00 60.00 60.00°
Element x y z (fractional)
Tm 0.000 0.000 0.000
Ag 0.500 0.500 0.500
Pd 0.250 0.250 0.250

=====

A relaxed Tm3Ag2Pd8 crystal, computed with PBE-GGA.

Summary:
SG	R-3m, No. 166
D(E_F)	7.14	states/eV/cell
energy of formation from the pure elements	-0.4616	eV/atom
crystal system	trigonal

Cell: 10.539 10.539 10.539 Å, 29.32 29.32 29.32°
Element x y z (fractional)
Tm 0.000 0.000 0.000
Tm 0.188 0.188 0.188
Tm 0.812 0.812 0.812
Ag 0.362 0.362 0.362
Ag 0.638 0.638 0.638
Pd 0.227 0.730 0.730
Pd 0.270 0.270 0.773
Pd 0.270 0.773 0.270
Pd 0.276 0.276 0.276
Pd 0.724 0.724 0.724
Pd 0.730 0.227 0.730
Pd 0.730 0.730 0.227
Pd 0.773 0.270 0.270

=====

A relaxed Tm2AgPd2 crystal, computed with PBE-GGA.

Summary:
SG	P4/mbm, No. 127
D(E_F)	4.44	states/eV/cell
energy of formation from the pure elements	-0.7798	eV/atom
crystal system	tetragonal

Cell: 7.547 7.547 3.692 Å, 90.00 90.00 90.00°
Element x y z (fractional)
Tm 0.170 0.330 0.000
Tm 0.330 0.830 0.000
Tm 0.670 0.170 0.000
Tm 0.830 0.670 0.000
Ag 0.000 0.000 0.500
Ag 0.500 0.500 0.500
Pd 0.131 0.631 0.500
Pd 0.369 0.131 0.500
Pd 0.631 0.869 0.500
Pd 0.869 0.369 0.500